Material: Zn2Cu2Bi
Method: DFT, PBE
State: relaxed

## Properties
D(E_F)   0.323 states/eV per atom
Final energy   -27.72 eV/cell
Space-group type   P4/mbm

a = 7.404 Å, b = 7.404 Å, c = 3.139 Å
α = 90.00°, β = 90.00°, γ = 90.00°
Element x y z (fractional)
1 Zn 0.160 0.340 0.000
2 Zn 0.340 0.840 0.000
3 Zn 0.660 0.160 0.000
4 Zn 0.840 0.660 0.000
5 Cu 0.125 0.625 0.500
6 Cu 0.375 0.125 0.500
7 Cu 0.625 0.875 0.500
8 Cu 0.875 0.375 0.500
9 Bi 0.000 0.000 0.500
10 Bi 0.500 0.500 0.500


Material: BaAl2Ag
Method: DFT, PBE
State: relaxed

## Properties
D(E_F)   0.516 states/eV per atom
Final energy   -103.75 eV/cell
Space-group type   Pnma

a = 16.726 Å, b = 7.384 Å, c = 6.725 Å
α = 90.00°, β = 90.00°, γ = 90.00°
Element x y z (fractional)
1 Ba 0.105 0.250 0.197
2 Ba 0.128 0.750 0.004
3 Ba 0.372 0.250 0.504
4 Ba 0.395 0.750 0.697
5 Ba 0.605 0.250 0.303
6 Ba 0.628 0.750 0.496
7 Ba 0.872 0.250 0.996
8 Ba 0.895 0.750 0.803
9 Al 0.051 0.067 0.674
10 Al 0.051 0.433 0.674
11 Al 0.208 0.565 0.521
12 Al 0.208 0.935 0.521
13 Al 0.292 0.065 0.021
14 Al 0.292 0.435 0.021
15 Al 0.449 0.567 0.174
16 Al 0.449 0.933 0.174
17 Al 0.551 0.067 0.826
18 Al 0.551 0.433 0.826
19 Al 0.708 0.565 0.979
20 Al 0.708 0.935 0.979
21 Al 0.792 0.065 0.479
22 Al 0.792 0.435 0.479
23 Al 0.949 0.567 0.326
24 Al 0.949 0.933 0.326
25 Ag 0.070 0.750 0.497
26 Ag 0.193 0.250 0.733
27 Ag 0.307 0.750 0.233
28 Ag 0.430 0.250 0.997
29 Ag 0.570 0.750 0.003
30 Ag 0.693 0.250 0.767
31 Ag 0.807 0.750 0.267
32 Ag 0.930 0.250 0.503


Material: Al2In2Pt
Method: DFT, PBE
State: relaxed

## Properties
D(E_F)   0.589 states/eV per atom
Final energy   -17.31 eV/cell
Space-group type   I4/mmm

a = 7.464 Å, b = 7.464 Å, c = 7.464 Å
α = 149.46°, β = 149.46°, γ = 43.73°
Element x y z (fractional)
1 Al 0.089 0.089 0.000
2 Al 0.911 0.911 0.000
3 In 0.250 0.750 0.500
4 In 0.750 0.250 0.500
5 Pt 0.500 0.500 0.000


Material: MnIrBr3
Method: DFT, PBE
State: relaxed

## Properties
Formation energy (no corrections)   0.48 eV/atom
D(E_F)   0.598 states/eV per atom
Space-group type   Pm-3m

a = 5.101 Å, b = 5.101 Å, c = 5.101 Å
α = 90.00°, β = 90.00°, γ = 90.00°
Element x y z (fractional)
1 Mn 0.000 0.000 0.000
2 Ir 0.500 0.500 0.500
3 Br 0.000 0.500 0.500
4 Br 0.500 0.000 0.500
5 Br 0.500 0.500 0.000


Material: Sb2MoPt
Method: DFT, PBE
State: relaxed

## Properties
Formation energy (no corrections)   0.47 eV/atom
D(E_F)   0.839 states/eV per atom
Space-group type   I-42d

a = 7.352 Å, b = 7.352 Å, c = 7.352 Å
α = 130.76°, β = 130.76°, γ = 72.19°
Element x y z (fractional)
1 Sb 0.121 0.625 0.996
2 Sb 0.375 0.371 0.496
3 Sb 0.629 0.125 0.004
4 Sb 0.875 0.879 0.504
5 Mo 0.250 0.750 0.500
6 Mo 0.500 0.500 0.000
7 Pt 0.000 0.000 0.000
8 Pt 0.750 0.250 0.500


Material: KLaY2
Method: DFT, PBE
State: relaxed

## Properties
D(E_F)   2.001 states/eV per atom
Final energy   -32.25 eV/cell
Space-group type   I-42d

a = 13.138 Å, b = 13.138 Å, c = 13.138 Å
α = 158.46°, β = 158.46°, γ = 30.65°
Element x y z (fractional)
1 K 0.000 0.000 0.000
2 K 0.750 0.250 0.500
3 La 0.250 0.750 0.500
4 La 0.500 0.500 0.000
5 Y 0.135 0.625 0.010
6 Y 0.375 0.385 0.510
7 Y 0.615 0.125 0.990
8 Y 0.875 0.865 0.490


Question: What is the formula in the fourth record?
Answer: MnIrBr3


Question: Which value of D(E_F) does entry 5 give?
Answer: 0.839 states/eV per atom


Question: Which of these has the lowest D(E_F)?
Answer: Zn2Cu2Bi


Question: The highest D(E_F) belongs to which entry?
Answer: KLaY2